DFT (PBE) results for a relaxed structure of SrCo3Cl.

Cell lengths 4.334, 4.334, 4.334 Å; angles 90.00, 90.00, 90.00 degrees
Site moments in Bohr magnetons follow the coordinates.
Fractional positions:
Co1 0.500 0.000 0.000  0.88
Co2 0.000 0.500 0.000  0.97
Co3 0.000 0.000 0.500  0.69
Cl1 0.000 0.000 0.000  0.02
Sr1 0.500 0.500 0.500  -0.08

Values from the calculation:
For the energy above the most stable polymorph in this dataset, the calculation gives 0 meV/atom. The formation energy from raw total energies is 61.5 kJ per mole of atoms. The crystal system is cubic.



DFT (PBE) results for a relaxed structure of Al2IrOs4.

Cell lengths 4.657, 4.657, 7.168 Å; angles 71.04, 71.04, 90.00 degrees
Site moments in Bohr magnetons follow the coordinates.
Fractional positions:
Os1 0.500 0.000 0.000  0.16
Os2 0.800 0.800 0.401  1.51
Os3 0.200 0.200 0.599  1.51
Os4 0.000 0.500 0.000  0.16
Al1 0.390 0.390 0.219  -0.01
Al2 0.610 0.610 0.781  -0.01
Ir1 0.000 0.000 0.000  0.16

Values from the calculation:
The formation energy is 1.79 eV/atom. The crystal system is tetragonal.



DFT (PBE) results for a relaxed structure of YTeP.

Cell lengths 3.940, 5.257, 8.870 Å; angles 108.25, 90.00, 112.01 degrees
Fractional positions:
Y1 0.000 0.000 0.500
Y2 0.000 0.000 0.000
P1 0.700 0.400 0.434
P2 0.300 0.600 0.566
Te1 0.365 0.729 0.177
Te2 0.635 0.271 0.823

Values from the calculation:
The formation energy from raw total energies is -78.5 kJ per mole of atoms. The crystal system is monoclinic.



DFT (PBE) results for a relaxed structure of FeHgBr2.

Cell lengths 6.847, 6.847, 6.769 Å; angles 57.63, 57.63, 29.96 degrees
Site moments in Bohr magnetons follow the coordinates.
Fractional positions:
Br1 0.861 0.861 0.602  0.15
Br2 0.019 0.019 0.886  0.15
Fe1 0.424 0.424 0.776  3.43
Hg1 0.197 0.197 0.236  0.03

Values from the calculation:
For the energy above the most stable polymorph in this dataset, the calculation gives 0 meV/atom. The formation energy from raw total energies is -19.2 kJ per mole of atoms. The crystal system is monoclinic.



DFT (PBE) results for a relaxed structure of Rb3Tm3MnS8.

Cell lengths 7.770, 7.771, 9.018 Å; angles 115.55, 90.00, 120.00 degrees
Site moments in Bohr magnetons follow the coordinates.
Fractional positions:
S1 0.730 0.460 0.690  0.00
S2 0.270 0.540 0.310  0.00
S3 0.756 0.966 0.675  -0.04
S4 0.790 0.580 0.325  -0.04
S5 0.790 0.034 0.325  -0.04
S6 0.244 0.034 0.325  -0.04
S7 0.210 0.966 0.675  -0.04
S8 0.210 0.420 0.675  -0.04
Tm1 0.500 0.500 0.500  0.03
Tm2 0.500 0.000 0.500  0.03
Tm3 0.000 0.500 0.500  0.03
Rb1 0.000 0.500 0.000  0.00
Rb2 0.000 0.000 0.000  0.00
Rb3 0.500 0.500 0.000  0.00
Mn1 0.000 0.000 0.500  3.10

Values from the calculation:
The formation energy from raw total energies is -148.4 kJ per mole of atoms. The crystal system is trigonal.



DFT (PBE) results for a relaxed structure of KTcPb2.

Cell lengths 5.199, 5.199, 5.199 Å; angles 60.00, 60.00, 60.00 degrees
Site moments in Bohr magnetons follow the coordinates.
Fractional positions:
Tc1 0.500 0.500 0.500  1.63
Pb1 0.750 0.750 0.750  -0.06
Pb2 0.250 0.250 0.250  -0.06
K1 0.000 0.000 0.000  -0.01

Values from the calculation:
For the energy above the most stable polymorph in this dataset, the calculation gives 443 meV/atom. The formation energy is 0.69 eV/atom. The crystal system is cubic.



no.,M_tot (μB per cell),E_tot (eV/atom)
1,2.1,-4.3321
2,3.7,-6.9601
3,0.0,-5.8188
4,4.0,-3.2268
5,3.0,-5.4385
6,1.7,-4.0265